Entry from Alexandria: crystalline Pu2Pa5Se12 at its relaxed geometry (PBE).

Summary:
ΔE_f (raw)	-1.28	eV/atom
calculated density	8.0	Mg/m³

```
Pu2Pa5Se12
1.0
8.023 -3.761 0.000
8.023 3.761 0.000
-2.673 0.000 8.871
Pu Pa Se
2 5 12
direct
0.241 0.759 0.000 Pu
0.759 0.241 0.000 Pu
0.177 0.177 0.835 Pa
0.199 0.199 0.354 Pa
0.500 0.500 0.500 Pa
0.801 0.801 0.646 Pa
0.823 0.823 0.165 Pa
0.008 0.008 0.249 Se
0.053 0.580 0.895 Se
0.101 0.602 0.440 Se
0.398 0.899 0.560 Se
0.420 0.947 0.105 Se
0.466 0.466 0.196 Se
0.534 0.534 0.804 Se
0.580 0.053 0.895 Se
0.602 0.101 0.440 Se
0.899 0.398 0.560 Se
0.947 0.420 0.105 Se
0.992 0.992 0.751 Se
```